Density functional theory data (GGA-PBE) for La2Si4PtRh3 after structural relaxation.

Cell and atoms, written as POSCAR:
```
La2Si4PtRh3
1.0
4.2059 0.0000 0.0000
0.0000 4.2059 0.0000
0.0000 0.0000 10.1095
La Rh Si Pt
2 3 4 1
Direct
0.5000 0.0000 0.2396 La
0.0000 0.5000 0.7604 La
0.5000 0.0000 0.8753 Rh
0.0000 0.0000 0.5000 Rh
0.0000 0.5000 0.1247 Rh
0.5000 0.0000 0.6335 Si
0.5000 0.5000 0.0000 Si
0.0000 0.5000 0.3665 Si
0.0000 0.0000 0.0000 Si
0.5000 0.5000 0.5000 Pt
```

Summary:
Calculated total energy: -7.01 eV per atom
E_form (uncorrected): -10.44 eV per formula unit
Space group: P-4m2